Entry from the Alexandria database: a relaxed structure of MnFeWO6 (GGA+U).

a b c (Å): 4.695 4.695 8.895
angles (deg): 90.00 90.00 90.00
Sites, in units of the cell vectors:
Mn  0.000  0.000  0.000
Mn  0.500  0.500  0.500
Fe  0.000  0.000  0.670
Fe  0.500  0.500  0.170
W  0.000  0.000  0.337
W  0.500  0.500  0.837
O  0.186  0.186  0.501
O  0.196  0.196  0.173
O  0.199  0.199  0.835
O  0.301  0.699  0.335
O  0.304  0.696  0.673
O  0.314  0.686  0.001
O  0.686  0.314  0.001
O  0.696  0.304  0.673
O  0.699  0.301  0.335
O  0.801  0.801  0.835
O  0.804  0.804  0.173
O  0.814  0.814  0.501

Calculated volume = 196.0 Å³/cell
Symmetry = No. 102
Calculated total energy = -127.65 eV per cell